No. 1
VASP calculation (GGA+U) on an optimized crystal structure of RbNaMoO4.

## Properties
The value obtained for the total energy is -5.995 eV/atom.

abc: 6.206 6.403 7.491
angles: 90.00 106.57 90.00
Space group P2_1/m (No. 11)
Symmetry-distinct sites (fractional):
Rb  0.220  0.250  0.444 x2
Na  0.315  0.250  0.979 x2
Mo  0.230  0.750  0.159 x2
O  0.044  0.750  0.928 x2
O  0.061  0.750  0.319 x2
O  0.415  0.527  0.196 x4

***

No. 2
VASP calculation (GGA+U) on an optimized crystal structure of RbNaMo3O10.

## Properties
The value obtained for the total energy is -6.597 eV/atom.

abc: 7.887 7.720 15.795
angles: 90.00 90.00 90.00
Space group Pnma (No. 62)
Symmetry-distinct sites (fractional):
Rb  0.132  0.250  0.145 x4
Na  0.065  0.250  0.778 x4
Mo  0.106  0.000  0.397 x8
Mo  0.236  0.250  0.556 x4
O  0.002  0.033  0.300 x8
O  0.054  0.750  0.410 x4
O  0.067  0.750  0.008 x4
O  0.112  0.250  0.426 x4
O  0.154  0.014  0.536 x8
O  0.183  0.032  0.869 x8
O  0.219  0.750  0.166 x4

***

No. 3
VASP calculation (GGA+U) on an optimized crystal structure of Rb2NaMoO4.

## Properties
The value obtained for the total energy is -5.455 eV/atom.

abc: 6.314 6.314 8.064
angles: 90.00 90.00 90.00
Space group I-4 (No. 82)
Symmetry-distinct sites (fractional):
Rb  0.000  0.000  0.000 x2
Rb  0.000  0.500  0.250 x2
Na  0.000  0.000  0.500 x2
Mo  0.000  0.500  0.750 x2
O  0.147  0.715  0.638 x8